VASP calculation (SCAN) on a crystal of LaBi3Pb relaxed with PBEsol.

Computed properties:
symmetry	Pm-3m, No. 221
mass density	8.49	Mg/m³
total magnetic moment	0.0	Bohr magnetons per cell
energy relative to the elements	296	meV/atom
DFT total energy	-2.5956	Ha/atom

abc: 5.752 5.752 5.752
angles: 90.00 90.00 90.00
Fractional positions:
La 0.000 0.000 0.000
Bi 0.000 0.500 0.500
Bi 0.500 0.000 0.500
Bi 0.500 0.500 0.000
Pb 0.500 0.500 0.500


VASP calculation (SCAN) on a crystal of CaPPb2 relaxed with PBEsol.

Computed properties:
symmetry	F-43m, No. 216
mass density	7.92	Mg/m³
total magnetic moment	0.0	Bohr magnetons per cell
energy relative to the elements	-153	meV/atom
DFT total energy	-1.5824	Ha/atom

abc: 5.241 5.241 5.241
angles: 60.00 60.00 60.00
Fractional positions:
Ca 0.000 0.000 0.000
P 0.750 0.750 0.750
Pb 0.250 0.250 0.250
Pb 0.500 0.500 0.500


VASP calculation (SCAN) on a crystal of Na2TiSb2 relaxed with PBEsol.

Computed properties:
symmetry	P4/mbm, No. 127
mass density	4.32	Mg/m³
formation energy without anion corrections	-30.0	kJ/mol of atoms
total magnetic moment	4.0	Bohr magnetons per cell
DFT total energy	-0.7389	Ha/atom

abc: 7.231 7.231 4.962
angles: 90.00 90.00 90.00
Fractional positions:
Na 0.166 0.334 0.000
Na 0.334 0.834 0.000
Na 0.666 0.166 0.000
Na 0.834 0.666 0.000
Ti 0.000 0.000 0.500
Ti 0.500 0.500 0.500
Sb 0.145 0.645 0.500
Sb 0.355 0.145 0.500
Sb 0.645 0.855 0.500
Sb 0.855 0.355 0.500


VASP calculation (SCAN) on a crystal of CdHRh3 relaxed with PBEsol.

Computed properties:
symmetry	Pm-3m, No. 221
mass density	11.55	Mg/m³
total magnetic moment	0.0	Bohr magnetons per cell
DFT total energy	-0.9943	Ha/atom

abc: 3.930 3.930 3.930
angles: 90.00 90.00 90.00
Fractional positions:
Cd 0.000 0.000 0.000
H 0.500 0.500 0.500
Rh 0.000 0.500 0.500
Rh 0.500 0.000 0.500
Rh 0.500 0.500 0.000


VASP calculation (SCAN) on a crystal of Sr2MnAlNi relaxed with PBEsol.

Computed properties:
symmetry	P4/mmm, No. 123
mass density	3.64	Mg/m³
total magnetic moment	4.5	Bohr magnetons per cell
energy relative to the elements	531	meV/atom
DFT total energy	-0.6179	Ha/atom

abc: 5.789 5.789 4.298
angles: 90.00 90.00 90.00
Fractional positions:
Sr 0.000 0.500 0.000
Sr 0.500 0.000 0.000
Mn 0.000 0.000 0.000
Al 0.500 0.500 0.500
Ni 0.000 0.000 0.500


VASP calculation (SCAN) on a crystal of BeFe3Pb relaxed with PBEsol.

Computed properties:
symmetry	Pm-3m, No. 221
mass density	5.88	Mg/m³
total magnetic moment	9.0	Bohr magnetons per cell
energy relative to the elements	1946	meV/atom
DFT total energy	-0.9172	Ha/atom

abc: 4.768 4.768 4.768
angles: 90.00 90.00 90.00
Fractional positions:
Be 0.000 0.000 0.000
Fe 0.000 0.500 0.500
Fe 0.500 0.000 0.500
Fe 0.500 0.500 0.000
Pb 0.500 0.500 0.500


VASP calculation (SCAN) on a crystal of HoScB8Rh8 relaxed with PBEsol.

Computed properties:
symmetry	P-4m2, No. 115
mass density	9.22	Mg/m³
total magnetic moment	0.0	Bohr magnetons per cell
energy relative to the elements	-661	meV/atom
DFT total energy	-0.8263	Ha/atom

abc: 5.255 5.255 7.300
angles: 90.00 90.00 90.00
Fractional positions:
Ho 0.000 0.000 0.000
Sc 0.500 0.500 0.500
B 0.000 0.329 0.648
B 0.000 0.671 0.648
B 0.170 0.500 0.148
B 0.329 0.000 0.352
B 0.500 0.170 0.852
B 0.500 0.830 0.852
B 0.671 0.000 0.352
B 0.830 0.500 0.148
Rh 0.000 0.250 0.355
Rh 0.000 0.750 0.355
Rh 0.250 0.000 0.645
Rh 0.253 0.500 0.850
Rh 0.500 0.253 0.150
Rh 0.500 0.747 0.150
Rh 0.747 0.500 0.850
Rh 0.750 0.000 0.645


VASP calculation (SCAN) on a crystal of ZnCdSb relaxed with PBEsol.

Computed properties:
symmetry	F-43m, No. 216
mass density	7.26	Mg/m³
formation energy without anion corrections	6.1	kJ/mol of atoms
total magnetic moment	0.0	Bohr magnetons per cell
DFT total energy	-0.9922	Ha/atom

abc: 4.594 4.594 4.594
angles: 60.00 60.00 60.00
Fractional positions:
Zn 0.000 0.000 0.000
Cd 0.250 0.250 0.250
Sb 0.750 0.750 0.750


Among the records above, which one has the lowest DFT total energy?
LaBi3Pb


Please write out number 7 again, unchanged.
VASP calculation (SCAN) on a crystal of HoScB8Rh8 relaxed with PBEsol.

Computed properties:
symmetry	P-4m2, No. 115
mass density	9.22	Mg/m³
total magnetic moment	0.0	Bohr magnetons per cell
energy relative to the elements	-661	meV/atom
DFT total energy	-0.8263	Ha/atom

abc: 5.255 5.255 7.300
angles: 90.00 90.00 90.00
Fractional positions:
Ho 0.000 0.000 0.000
Sc 0.500 0.500 0.500
B 0.000 0.329 0.648
B 0.000 0.671 0.648
B 0.170 0.500 0.148
B 0.329 0.000 0.352
B 0.500 0.170 0.852
B 0.500 0.830 0.852
B 0.671 0.000 0.352
B 0.830 0.500 0.148
Rh 0.000 0.250 0.355
Rh 0.000 0.750 0.355
Rh 0.250 0.000 0.645
Rh 0.253 0.500 0.850
Rh 0.500 0.253 0.150
Rh 0.500 0.747 0.150
Rh 0.747 0.500 0.850
Rh 0.750 0.000 0.645


The lowest DFT total energy belongs to which entry?
LaBi3Pb